Record 1
Compound: TlCr3Si
Source: Alexandria via LeMat-Bulk
Functional: GGA-PBE
Structure: optimized geometry

Unit cell a=4.4978 b=4.4978 c=4.4978 alpha=90.00 beta=90.00 gamma=90.00
Space group Pm-3m (No. 221)
Inequivalent atoms, fractional coordinates:
Tl: 0.0000 0.0000 0.0000 [1 per cell]
Cr: 0.0000 0.5000 0.5000 [3 per cell]
Si: 0.5000 0.5000 0.5000 [1 per cell]

Energy above the lowest structure with this stoichiometry, meV per atom: 0
Crystal system: cubic

Record 2
Compound: TlCr4Si
Source: Alexandria via LeMat-Bulk
Functional: GGA-PBE
Structure: optimized geometry

Unit cell a=6.9310 b=6.9310 c=6.9310 alpha=90.00 beta=90.00 gamma=90.00
Space group F-43m (No. 216)
Inequivalent atoms, fractional coordinates:
Tl: 0.0000 0.0000 0.0000 [4 per cell]
Cr: 0.1248 0.1248 0.6248 [16 per cell]
Si: 0.2500 0.2500 0.2500 [4 per cell]

Crystal system: cubic

Record 3
Compound: TlCr3Si
Source: Alexandria via LeMat-Bulk
Functional: GGA-PBE
Structure: optimized geometry

Unit cell a=5.1080 b=5.1080 c=5.1080 alpha=90.00 beta=90.00 gamma=90.00
Space group Pm-3m (No. 221)
Inequivalent atoms, fractional coordinates:
Tl: 0.0000 0.0000 0.0000 [1 per cell]
Cr: 0.0000 0.0000 0.5000 [3 per cell]
Si: 0.5000 0.5000 0.5000 [1 per cell]

Energy above the lowest structure with this stoichiometry, meV per atom: 1057
Crystal system: cubic

Record 4
Compound: Tl2CrSi
Source: Alexandria via LeMat-Bulk
Functional: GGA-PBE
Structure: optimized geometry

Unit cell a=16.2885 b=3.0562 c=3.7770 alpha=90.00 beta=103.41 gamma=90.00
Space group C2/m (No. 12)
Inequivalent atoms, fractional coordinates:
Tl: 0.1699 0.0000 0.1677 [4 per cell]
Cr: 0.0000 0.5000 0.0000 [2 per cell]
Si: 0.0000 0.0000 0.5000 [2 per cell]

Energy above the lowest structure with this stoichiometry, meV per atom: 0
Crystal system: monoclinic

Record 5
Compound: Tl2CrSi
Source: Alexandria via LeMat-Bulk
Functional: GGA-PBE
Structure: optimized geometry

Unit cell a=7.1796 b=7.1796 c=7.1796 alpha=90.00 beta=90.00 gamma=90.00
Space group F-43m (No. 216)
Inequivalent atoms, fractional coordinates:
Tl: 0.0000 0.0000 0.0000 [4 per cell]
Tl: 0.2500 0.2500 0.2500 [4 per cell]
Cr: 0.0000 0.0000 0.5000 [4 per cell]
Si: 0.2500 0.2500 0.7500 [4 per cell]

Energy above the lowest structure with this stoichiometry, meV per atom: 395
Crystal system: cubic

Record 6
Compound: TmCrSi2
Source: Alexandria via LeMat-Bulk
Functional: GGA-PBE
Structure: optimized geometry

Unit cell a=4.0308 b=4.0308 c=14.6163 alpha=90.00 beta=90.00 gamma=120.00
Space group R-3m (No. 166, hexagonal axes)
Inequivalent atoms, fractional coordinates:
Tm: 0.0000 0.0000 0.0000 [3 per cell]
Cr: 0.0000 0.0000 0.5000 [3 per cell]
Si: 0.0000 0.0000 0.2172 [6 per cell]

Crystal system: trigonal

Record 7
Compound: TmCrSi
Source: Alexandria via LeMat-Bulk
Functional: GGA-PBE
Structure: optimized geometry

Unit cell a=6.9612 b=6.9612 c=3.8893 alpha=90.00 beta=90.00 gamma=120.00
Space group P-62m (No. 189)
Inequivalent atoms, fractional coordinates:
Tm: 0.0000 0.5901 0.0000 [3 per cell]
Cr: 0.0000 0.2394 0.5000 [3 per cell]
Si: 0.0000 0.0000 0.0000 [1 per cell]
Si: 0.3333 0.6667 0.5000 [2 per cell]

Crystal system: hexagonal

Record 8
Compound: TmCr2Si2
Source: Alexandria via LeMat-Bulk
Functional: GGA-PBE
Structure: optimized geometry

Unit cell a=3.8192 b=3.8192 c=10.6483 alpha=90.00 beta=90.00 gamma=90.00
Space group I4/mmm (No. 139)
Inequivalent atoms, fractional coordinates:
Tm: 0.0000 0.0000 0.0000 [2 per cell]
Cr: 0.0000 0.5000 0.2500 [4 per cell]
Si: 0.0000 0.0000 0.3861 [4 per cell]

Crystal system: tetragonal

Record 9
Compound: U2Cr3Si
Source: Alexandria via LeMat-Bulk
Functional: GGA-PBE
Structure: optimized geometry

Unit cell a=5.1190 b=5.1190 c=8.0539 alpha=90.00 beta=90.00 gamma=120.00
Space group P6_3/mmc (No. 194)
Inequivalent atoms, fractional coordinates:
U: 0.3333 0.6667 0.0858 [4 per cell]
Cr: 0.1721 0.3442 0.7500 [6 per cell]
Si: 0.0000 0.0000 0.0000 [2 per cell]

Crystal system: hexagonal

Record 10
Compound: U2CrSi3
Source: Alexandria via LeMat-Bulk
Functional: GGA-PBE
Structure: optimized geometry

Unit cell a=5.3402 b=5.3402 c=7.8988 alpha=90.00 beta=90.00 gamma=120.00
Space group P6_3/mmc (No. 194)
Inequivalent atoms, fractional coordinates:
U: 0.3333 0.6667 0.0903 [4 per cell]
Cr: 0.0000 0.0000 0.0000 [2 per cell]
Si: 0.1648 0.3297 0.7500 [6 per cell]

Crystal system: hexagonal

Record 11
Compound: UCr2Si2
Source: Alexandria via LeMat-Bulk
Functional: GGA-PBE
Structure: optimized geometry

Unit cell a=3.9187 b=3.9187 c=10.2115 alpha=90.00 beta=90.00 gamma=90.00
Space group I4/mmm (No. 139)
Inequivalent atoms, fractional coordinates:
U: 0.0000 0.0000 0.0000 [2 per cell]
Cr: 0.0000 0.5000 0.2500 [4 per cell]
Si: 0.0000 0.0000 0.3838 [4 per cell]

Crystal system: tetragonal

Record 12
Compound: YUCr4Si4
Source: Alexandria via LeMat-Bulk
Functional: GGA-PBE
Structure: optimized geometry

Unit cell a=3.8835 b=3.8835 c=10.4722 alpha=90.00 beta=90.00 gamma=90.00
Space group P4/mmm (No. 123)
Inequivalent atoms, fractional coordinates:
Y: 0.0000 0.0000 0.0000 [1 per cell]
U: 0.5000 0.5000 0.5000 [1 per cell]
Cr: 0.0000 0.5000 0.2548 [4 per cell]
Si: 0.0000 0.0000 0.3866 [2 per cell]
Si: 0.5000 0.5000 0.1182 [2 per cell]

Crystal system: tetragonal

Record 13
Compound: VCrSi2
Source: Alexandria via LeMat-Bulk
Functional: GGA-PBE
Structure: optimized geometry

Unit cell a=4.4567 b=5.1863 c=8.8741 alpha=90.00 beta=103.20 gamma=90.00
Space group P2/c (No. 13)
Inequivalent atoms, fractional coordinates:
V: 0.1892 0.1990 0.1207 [4 per cell]
Cr: 0.3106 0.4731 0.3701 [4 per cell]
Si: 0.2011 0.3016 0.6216 [4 per cell]
Si: 0.3105 0.0402 0.8724 [4 per cell]

Energy above the lowest structure with this stoichiometry, meV per atom: 0
Crystal system: monoclinic

Record 14
Compound: V8Cr2Si
Source: Alexandria via LeMat-Bulk
Functional: GGA-PBE
Structure: optimized geometry

Unit cell a=8.9099 b=8.4684 c=4.2865 alpha=90.00 beta=96.27 gamma=90.00
Space group C2/m (No. 12)
Inequivalent atoms, fractional coordinates:
V: 0.0750 0.0000 0.3060 [4 per cell]
V: 0.1353 0.2563 0.7452 [8 per cell]
V: 0.2238 0.0000 0.9082 [4 per cell]
Cr: 0.1350 0.5000 0.5236 [4 per cell]
Si: 0.0000 0.5000 0.0000 [2 per cell]

Crystal system: monoclinic

Record 15
Compound: V6CrSi
Source: Alexandria via LeMat-Bulk
Functional: GGA-PBE
Structure: optimized geometry

Unit cell a=4.7044 b=4.7044 c=4.7044 alpha=90.00 beta=90.00 gamma=90.00
Space group Pm-3 (No. 200)
Inequivalent atoms, fractional coordinates:
V: 0.0000 0.2463 0.5000 [6 per cell]
Cr: 0.0000 0.0000 0.0000 [1 per cell]
Si: 0.5000 0.5000 0.5000 [1 per cell]

Energy above the lowest structure with this stoichiometry, meV per atom: 0
Crystal system: cubic

Record 16
Compound: V6Cr5Si
Source: Alexandria via LeMat-Bulk
Functional: GGA-PBE
Structure: optimized geometry

Unit cell a=4.1120 b=5.8586 c=12.4072 alpha=90.00 beta=90.00 gamma=90.00
Space group Immm (No. 71)
Inequivalent atoms, fractional coordinates:
V: 0.0000 0.2397 0.0000 [4 per cell]
V: 0.0000 0.2535 0.3309 [8 per cell]
Cr: 0.0000 0.0000 0.1691 [4 per cell]
Cr: 0.0000 0.5000 0.1596 [4 per cell]
Cr: 0.0000 0.5000 0.5000 [2 per cell]
Si: 0.0000 0.0000 0.5000 [2 per cell]

Crystal system: orthorhombic

Record 17
Compound: V5CrSi5
Source: Alexandria via LeMat-Bulk
Functional: GGA-PBE
Structure: optimized geometry

Unit cell a=11.2488 b=4.6998 c=6.0925 alpha=90.00 beta=107.03 gamma=90.00
Space group C2/m (No. 12)
Inequivalent atoms, fractional coordinates:
V: 0.0000 0.0000 0.0000 [2 per cell]
V: 0.1096 0.5000 0.2184 [4 per cell]
V: 0.1753 0.5000 0.8292 [4 per cell]
Cr: 0.0000 0.0000 0.5000 [2 per cell]
Si: 0.0000 0.5000 0.5000 [2 per cell]
Si: 0.1745 0.0000 0.8070 [4 per cell]
Si: 0.1866 0.0000 0.4064 [4 per cell]

Crystal system: monoclinic

Record 18
Compound: V2CrSi
Source: Alexandria via LeMat-Bulk
Functional: GGA-PBE
Structure: optimized geometry

Unit cell a=9.7520 b=2.5090 c=5.0267 alpha=90.00 beta=120.78 gamma=90.00
Space group Cm (No. 8)
Inequivalent atoms, fractional coordinates:
V: 0.0000 0.0000 0.0000 [2 per cell]
V: 0.2461 0.5000 0.0054 [2 per cell]
Cr: 0.2471 0.5000 0.4984 [2 per cell]
Si: 0.0219 0.0000 0.5214 [2 per cell]

Crystal system: monoclinic

Record 19
Compound: VCrSi2
Source: Alexandria via LeMat-Bulk
Functional: GGA-PBE
Structure: optimized geometry

Unit cell a=3.7280 b=3.7280 c=3.6198 alpha=90.00 beta=90.00 gamma=90.00
Space group P4/mmm (No. 123)
Inequivalent atoms, fractional coordinates:
V: 0.0000 0.0000 0.0000 [1 per cell]
Cr: 0.5000 0.5000 0.0000 [1 per cell]
Si: 0.0000 0.5000 0.5000 [2 per cell]

Energy above the lowest structure with this stoichiometry, meV per atom: 127
Crystal system: tetragonal

Record 20
Compound: V8CrSi2
Source: Alexandria via LeMat-Bulk
Functional: GGA-PBE
Structure: optimized geometry

Unit cell a=13.1120 b=4.2118 c=5.6914 alpha=90.00 beta=110.85 gamma=90.00
Space group C2/m (No. 12)
Inequivalent atoms, fractional coordinates:
V: 0.0063 0.0000 0.2293 [4 per cell]
V: 0.1141 0.5000 0.9123 [4 per cell]
V: 0.1557 0.5000 0.4083 [4 per cell]
V: 0.1698 0.0000 0.6861 [4 per cell]
Cr: 0.0000 0.5000 0.5000 [2 per cell]
Si: 0.1903 0.0000 0.1745 [4 per cell]

Crystal system: monoclinic

| no. | formation energy from raw total energies (eV per atom) | M_tot (Bohr magnetons per cell) |
| --- | --- | --- |
| 1 | 0.761 | 8.20 |
| 2 | 0.555 | 0.00 |
| 3 | 1.818 | 12.17 |
| 4 | 0.292 | 4.32 |
| 5 | 0.687 | 16.95 |
| 6 | -0.386 | 5.69 |
| 7 | -0.385 | 7.89 |
| 8 | -0.440 | 2.36 |
| 9 | -0.104 | 0.00 |
| 10 | -0.362 | 3.39 |
| 11 | -0.236 | 7.58 |
| 12 | -0.331 | 4.97 |
| 13 | -0.293 | 0.00 |
| 14 | 0.440 | 0.00 |
| 15 | -0.243 | 0.00 |
| 16 | -0.179 | 0.00 |
| 17 | 0.041 | 0.00 |
| 18 | 0.067 | 0.00 |
| 19 | -0.165 | 1.31 |
| 20 | -0.181 | 0.00 |